The following is a DFT calculation (PBE) of CaRe2Si after structural relaxation.

Values from the calculation:
The crystal system is monoclinic. The value obtained for the density of states at the Fermi level is 5.73 states/eV/cell. The calculated total energy is -7.507 eV/atom. Its total magnetization is 0.0 Bohr magnetons per cell.

Cell: 5.6231 9.3856 2.7098 Å, 90.00 113.40 90.00°
Space group C2/m (No. 12)
One atom of each set of equivalent atoms:
Ca 0.0000 0.0000 0.0000
Re 0.2500 0.2500 0.5000
Si 0.0000 0.5000 0.0000

=====

The following is a DFT calculation (PBE) of Na3SrBi after structural relaxation.

Values from the calculation:
The crystal system is cubic. The value obtained for the density of states at the Fermi level is 1.17 states/eV/cell. Its distance to the lowest polymorph of the same formula is 765 meV per atom. The calculated total energy is -1.210 eV/atom. Its total magnetization is 0.0 Bohr magnetons per cell. The calculation puts the energy relative to the elements at 0.694 eV/atom.

Cell: 6.1643 6.1643 6.1643 Å, 90.00 90.00 90.00°
Space group Pm-3m (No. 221)
One atom of each set of equivalent atoms:
Na 0.0000 0.0000 0.5000
Sr 0.0000 0.0000 0.0000
Bi 0.5000 0.5000 0.5000

=====

The following is a DFT calculation (PBE) of Er6Bi2P after structural relaxation.

Values from the calculation:
The crystal system is monoclinic. The value obtained for the density of states at the Fermi level is 17.43 states/eV/cell. The calculated total energy is -5.183 eV/atom. Its total magnetization is 0.0 Bohr magnetons per cell. The calculation puts the energy relative to the elements at -0.677 eV/atom.

Cell: 6.4449 7.9545 11.7388 Å, 90.00 121.65 90.00°
Space group P2_1/c (No. 14)
One atom of each set of equivalent atoms:
Er 0.1031 0.1855 0.4567
Er 0.3189 0.6815 0.4548
Er 0.3626 0.0249 0.2376
Bi 0.1616 0.1147 0.7471
P 0.5000 0.0000 0.5000

=====

The following is a DFT calculation (PBE) of Cs5RbAs2 after structural relaxation.

Values from the calculation:
The crystal system is hexagonal. The value obtained for the density of states at the Fermi level is 19.45 states/eV/cell. The calculated total energy is -1.990 eV/atom. Its total magnetization is 0.0 Bohr magnetons per cell. The calculation puts the energy relative to the elements at -0.174 eV/atom.

Cell: 6.6232 6.6232 23.3464 Å, 90.00 90.00 120.00°
Space group P6_3/mmc (No. 194)
One atom of each set of equivalent atoms:
Cs 0.0000 0.0000 0.1141
Cs 0.3333 0.6667 0.0503
Cs 0.3333 0.6667 0.2500
Rb 0.3333 0.6667 0.7500
As 0.3333 0.6667 0.6089

=====

Which formula does entry 3 have? Er6Bi2P